1.
Computed, not measured: a relaxed NaLaSe2 crystal at the PBE level of DFT.

Results
- D(E_F) (states/eV/atom) = 1.225
- ΔE_f (raw) (eV per atom) = -0.58

Unit cell a=8.6408 b=8.6408 c=8.6408 alpha=31.88 beta=31.88 gamma=31.88
Closest atoms and distances in Å follow each position.
Element x y z (fractional)
Na (0.0000, 0.0000, 0.0000)  6 Se 3.09
La (0.5000, 0.5000, 0.5000)  2 Se 2.68
Se (0.3910, 0.3910, 0.3910)  1 La 2.68
Se (0.6090, 0.6090, 0.6090)  1 La 2.68

=====

2.
Computed, not measured: a relaxed NaLaSe2 crystal at the PBE level of DFT.

Results
- D(E_F) (states/eV/atom) = 0.000
- ΔE_f (raw) (eV per atom) = -1.71

Unit cell a=7.7512 b=7.7512 c=7.7512 alpha=32.49 beta=32.49 gamma=32.49
Closest atoms and distances in Å follow each position.
Element x y z (fractional)
Na (0.0000, 0.0000, 0.0000)  6 Se 3.11-3.27
La (0.1726, 0.1726, 0.1726)  6 Se 3.02
Se (0.5829, 0.5829, 0.5829)  3 La 3.02, 3 Na 3.11
Se (0.7625, 0.7625, 0.7625)  3 La 3.02, 3 Na 3.27

=====

3.
Computed, not measured: a relaxed NaLa4Se6 crystal at the PBE level of DFT.

Results
- D(E_F) (states/eV/atom) = 0.124
- ΔE_f (raw) (eV per atom) = -1.81

Unit cell a=5.9851 b=5.9851 c=9.5056 alpha=108.28 beta=108.28 gamma=90.00
Closest atoms and distances in Å follow each position.
Element x y z (fractional)
Na (0.0000, 0.0000, 0.0000)  4 Se 2.99-3.00, 4 La 3.28-3.29
La (0.1233, 0.1233, 0.7173)  7 Se 3.05-3.21, 1 Na 3.29
La (0.4066, 0.8798, 0.2827)  7 Se 3.05-3.22, 1 Na 3.28
La (0.5963, 0.5963, 0.7168)  7 Se 3.05-3.21, 1 Na 3.28
La (0.8798, 0.4066, 0.2827)  7 Se 3.05-3.22, 1 Na 3.28
Se (0.0012, 0.5007, 0.9999)  2 Na 2.99-3.00, 4 La 3.20-3.22
Se (0.0624, 0.5845, 0.6441)  5 La 3.05-3.08
Se (0.4186, 0.4186, 0.3558)  5 La 3.05-3.08
Se (0.5007, 0.0012, 0.9999)  2 Na 2.99-3.00, 4 La 3.20-3.22
Se (0.5845, 0.0624, 0.6441)  5 La 3.05-3.08
Se (0.9408, 0.9408, 0.3557)  5 La 3.05-3.08

=====

4.
Computed, not measured: a relaxed NaLaSe2 crystal at the PBE level of DFT.

Results
- D(E_F) (states/eV/atom) = 0.000
- ΔE_f (raw) (eV per atom) = -1.70

Unit cell a=4.3078 b=4.3078 c=7.4054 alpha=90.00 beta=90.00 gamma=120.00
Closest atoms and distances in Å follow each position.
Element x y z (fractional)
Na (0.0000, 0.0000, 0.0000)  6 Se 3.18
La (0.0000, 0.0000, 0.5000)  6 Se 3.03
Se (0.3333, 0.6667, 0.2668)  3 La 3.03, 3 Na 3.18
Se (0.6667, 0.3333, 0.7332)  3 La 3.03, 3 Na 3.18

=====

5.
Computed, not measured: a relaxed NaLaSe2 crystal at the PBE level of DFT.

Results
- D(E_F) (states/eV/atom) = 0.000
- ΔE_f (raw) (eV per atom) = -1.76

Unit cell a=7.3993 b=7.3993 c=7.3993 alpha=34.48 beta=34.48 gamma=34.48
Closest atoms and distances in Å follow each position.
Element x y z (fractional)
Na (0.0000, 0.0000, 0.0000)  6 Se 3.12
La (0.5000, 0.5000, 0.5000)  6 Se 3.02
Se (0.2458, 0.2458, 0.2458)  3 La 3.02, 3 Na 3.12
Se (0.7542, 0.7542, 0.7542)  3 La 3.02, 3 Na 3.12

=====

6.
Computed, not measured: a relaxed Na3LaSe crystal at the PBE level of DFT.

Results
- D(E_F) (states/eV/atom) = 0.927
- ΔE_f (raw) (eV per atom) = -0.05

Unit cell a=5.3874 b=5.3874 c=5.3874 alpha=90.00 beta=90.00 gamma=90.00
Closest atoms and distances in Å follow each position.
Element x y z (fractional)
Na (0.0000, 0.0000, 0.5000)  2 Se 2.69
Na (0.0000, 0.5000, 0.0000)  2 Se 2.69
Na (0.5000, 0.0000, 0.0000)  2 Se 2.69
La (0.5000, 0.5000, 0.5000)  12 Na 3.81
Se (0.0000, 0.0000, 0.0000)  6 Na 2.69

=====

7.
Computed, not measured: a relaxed NaLa8Se12 crystal at the PBE level of DFT.

Results
- D(E_F) (states/eV/atom) = 0.395
- ΔE_f (raw) (eV per atom) = -1.99

Unit cell a=15.1034 b=15.1034 c=15.1034 alpha=144.96 beta=144.96 gamma=50.39
Closest atoms and distances in Å follow each position.
Element x y z (fractional)
Na (0.0000, 0.0000, 0.0000)  8 Se 3.08-3.32
Na (0.7500, 0.2500, 0.5000)  8 Se 3.08-3.32
La (0.0366, 0.6591, 0.1153)  8 Se 3.03-3.30
La (0.0787, 0.9634, 0.6225)  8 Se 3.03-3.30
La (0.0834, 0.5834, 0.5000)  8 Se 3.04-3.23
La (0.2062, 0.5909, 0.8775)  8 Se 3.03-3.30
La (0.3334, 0.3334, 0.0000)  8 Se 3.04-3.23
La (0.3409, 0.4562, 0.3775)  8 Se 3.03-3.30
La (0.3750, 0.0049, 0.1299)  8 Se 3.05-3.27
La (0.4091, 0.2866, 0.6153)  8 Se 3.03-3.30
La (0.4166, 0.9166, 0.5000)  8 Se 3.04-3.23
La (0.5438, 0.9213, 0.8847)  8 Se 3.03-3.30
La (0.6666, 0.6666, 0.0000)  8 Se 3.04-3.23
La (0.6713, 0.7938, 0.3847)  8 Se 3.03-3.30
La (0.7134, 0.3287, 0.1225)  8 Se 3.03-3.30
La (0.7549, 0.6250, 0.6299)  8 Se 3.05-3.27
La (0.8750, 0.2451, 0.8701)  8 Se 3.05-3.27
La (0.9951, 0.1250, 0.3701)  8 Se 3.05-3.27
Se (0.0085, 0.6088, 0.2510)  6 La 3.06-3.30
Se (0.0291, 0.9238, 0.7470)  5 La 3.03-3.24, 1 Na 3.32
Se (0.0321, 0.4269, 0.7530)  5 La 3.03-3.24, 1 Na 3.32
Se (0.0602, 0.3109, 0.9030)  5 La 3.04-3.24, 1 Na 3.08
Se (0.0609, 0.3102, 0.4030)  5 La 3.04-3.24, 1 Na 3.08
Se (0.0762, 0.8231, 0.1053)  5 La 3.03-3.24, 1 Na 3.32
Se (0.1769, 0.2821, 0.2530)  5 La 3.03-3.24, 1 Na 3.32
Se (0.2425, 0.9915, 0.6003)  6 La 3.06-3.30
Se (0.3422, 0.9391, 0.2494)  5 La 3.04-3.24, 1 Na 3.08
Se (0.3578, 0.7575, 0.7490)  6 La 3.06-3.30
Se (0.3588, 0.2585, 0.7510)  6 La 3.06-3.30
Se (0.3912, 0.6422, 0.3997)  6 La 3.06-3.30
Se (0.3922, 0.6412, 0.8997)  6 La 3.06-3.30
Se (0.4078, 0.1572, 0.0970)  5 La 3.04-3.24, 1 Na 3.08
Se (0.5075, 0.6078, 0.2490)  6 La 3.06-3.30
Se (0.5731, 0.3262, 0.6053)  5 La 3.03-3.24, 1 Na 3.32
Se (0.6738, 0.2791, 0.2470)  5 La 3.03-3.24, 1 Na 3.32
Se (0.6891, 0.5922, 0.7494)  5 La 3.04-3.24, 1 Na 3.08
Se (0.6898, 0.0928, 0.7506)  5 La 3.04-3.24, 1 Na 3.08
Se (0.7179, 0.9709, 0.8947)  5 La 3.03-3.24, 1 Na 3.32
Se (0.7209, 0.9679, 0.3947)  5 La 3.03-3.24, 1 Na 3.32
Se (0.7415, 0.4925, 0.1003)  6 La 3.06-3.30
Se (0.8428, 0.9398, 0.2506)  5 La 3.04-3.24, 1 Na 3.08
Se (0.9072, 0.6578, 0.5970)  5 La 3.04-3.24, 1 Na 3.08

=====

8.
Computed, not measured: a relaxed NaLaSe2 crystal at the PBE level of DFT.

Results
- ΔE_f (raw) (eV per atom) = -1.68

Unit cell a=4.3642 b=4.3642 c=5.9125 alpha=90.00 beta=90.00 gamma=90.00
Closest atoms and distances in Å follow each position.
Element x y z (fractional)
Na (0.0000, 0.0000, 0.0000)  6 Se 2.96-3.09
La (0.5000, 0.5000, 0.5000)  6 Se 2.96-3.09
Se (0.0000, 0.0000, 0.5000)  2 Na 2.96, 4 La 3.09
Se (0.5000, 0.5000, 0.0000)  2 La 2.96, 4 Na 3.09

=====

9.
Computed, not measured: a relaxed Na2LaSe2 crystal at the PBE level of DFT.

Results
- D(E_F) (states/eV/atom) = 0.405
- ΔE_f (raw) (eV per atom) = -1.19

Unit cell a=8.1109 b=8.1109 c=4.1591 alpha=90.00 beta=90.00 gamma=90.00
Closest atoms and distances in Å follow each position.
Element x y z (fractional)
Na (0.1322, 0.3678, 0.0000)  6 Se 3.03-3.27, 1 Na 3.03
Na (0.3678, 0.8678, 0.0000)  6 Se 3.03-3.27, 1 Na 3.03
Na (0.6322, 0.1322, 0.0000)  6 Se 3.03-3.27, 1 Na 3.03
Na (0.8678, 0.6322, 0.0000)  6 Se 3.03-3.27, 1 Na 3.03
La (0.0000, 0.0000, 0.5000)  4 Se 2.99
La (0.5000, 0.5000, 0.5000)  4 Se 2.99
Se (0.1756, 0.6756, 0.5000)  2 La 2.99, 6 Na 3.03-3.27
Se (0.3244, 0.1756, 0.5000)  2 La 2.99, 6 Na 3.03-3.27
Se (0.6756, 0.8244, 0.5000)  2 La 2.99, 6 Na 3.03-3.27
Se (0.8244, 0.3244, 0.5000)  2 La 2.99, 6 Na 3.03-3.27

=====

10.
Computed, not measured: a relaxed NaLaSe2 crystal at the PBE level of DFT.

Results
- D(E_F) (states/eV/atom) = 0.000
- ΔE_f (raw) (eV per atom) = -1.58

Unit cell a=5.1856 b=5.1856 c=5.1856 alpha=60.00 beta=60.00 gamma=60.00
Closest atoms and distances in Å follow each position.
Element x y z (fractional)
Na (0.0000, 0.0000, 0.0000)  8 Se 3.18
La (0.5000, 0.5000, 0.5000)  8 Se 3.18
Se (0.2500, 0.2500, 0.2500)  4 La 3.18, 4 Na 3.18
Se (0.7500, 0.7500, 0.7500)  4 La 3.18, 4 Na 3.18

=====

11.
Computed, not measured: a relaxed NaLa5Se6 crystal at the PBE level of DFT.

Results
- D(E_F) (states/eV/atom) = 0.520
- ΔE_f (raw) (eV per atom) = -1.91

Unit cell a=7.4641 b=7.4641 c=7.4661 alpha=99.61 beta=99.61 gamma=120.00
Closest atoms and distances in Å follow each position.
Element x y z (fractional)
Na (0.0000, 0.0000, 0.0000)  6 Se 3.01-3.02
La (0.1654, 0.8346, 0.5000)  6 Se 3.04-3.08
La (0.3341, 0.6659, 0.0000)  6 Se 3.04-3.06
La (0.5000, 0.5000, 0.5000)  6 Se 3.05-3.09
La (0.6659, 0.3341, 0.0000)  6 Se 3.04-3.06
La (0.8346, 0.1654, 0.5000)  6 Se 3.04-3.08
Se (0.0826, 0.4132, 0.2486)  1 Na 3.02, 5 La 3.04-3.08
Se (0.2471, 0.2471, 0.7540)  1 Na 3.01, 5 La 3.04-3.09
Se (0.4132, 0.0826, 0.2486)  1 Na 3.02, 5 La 3.04-3.08
Se (0.5868, 0.9174, 0.7514)  1 Na 3.02, 5 La 3.04-3.08
Se (0.7529, 0.7529, 0.2460)  1 Na 3.01, 5 La 3.04-3.09
Se (0.9174, 0.5868, 0.7514)  1 Na 3.02, 5 La 3.04-3.08

=====

12.
Computed, not measured: a relaxed NaLa3Se4 crystal at the PBE level of DFT.

Results
- D(E_F) (states/eV/atom) = 0.424
- ΔE_f (raw) (eV per atom) = -1.87
- E above lowest polymorph (meV per atom) = 20.8

Unit cell a=7.4700 b=7.4700 c=4.3062 alpha=90.00 beta=90.00 gamma=109.38
Closest atoms and distances in Å follow each position.
Element x y z (fractional)
Na (0.0000, 0.0000, 0.0000)  6 Se 3.02-3.05
La (0.0000, 0.5000, 0.5000)  6 Se 3.05
La (0.5000, 0.0000, 0.5000)  6 Se 3.05
La (0.5000, 0.5000, 0.0000)  6 Se 3.05-3.07
Se (0.2480, 0.7520, 0.0000)  1 Na 3.02, 5 La 3.05-3.07
Se (0.2503, 0.2503, 0.5000)  4 La 3.05, 2 Na 3.05
Se (0.7497, 0.7497, 0.5000)  4 La 3.05, 2 Na 3.05
Se (0.7520, 0.2480, 0.0000)  1 Na 3.02, 5 La 3.05-3.07